# Re2RhW (GGA-PBE, relaxed)
data_Re2RhW
_cell_length_a 4.4178
_cell_length_b 4.4178
_cell_length_c 11.0134
_cell_angle_alpha 90.00
_cell_angle_beta 90.00
_cell_angle_gamma 120.00
_space_group_name_H-M_alt 'R 3 m'
_space_group_IT_number 160
_space_group_name_Hall 'R 3 -2"'
loop_
_atom_site_label
_atom_site_type_symbol
_atom_site_fract_x
_atom_site_fract_y
_atom_site_fract_z
Re1 Re 0.0000 0.0000 0.0000
Re2 Re 0.0000 0.0000 0.2356
Rh1 Rh 0.0000 0.0000 0.7131
W1 W 0.0000 0.0000 0.4834
# Formation enthalpy at 0 K (eV/f.u.): 1.2
# DOS(E_F) (states/eV/f.u.): 3.746